Compound: Pb3I2O8
Source: the Alexandria database
Functional: PBE
Structure: relaxed

abc: 6.472 6.472 7.762
angles: 65.36 65.36 60.00
Atoms (fractional coordinates):
Pb1 0.826 0.826 0.521
Pb2 0.000 0.000 0.000
O1 0.250 0.787 0.713
O2 0.213 0.750 0.287
O3 0.250 0.250 0.713
I1 0.420 0.420 0.741
O4 0.750 0.750 0.287
I2 0.580 0.580 0.259
O5 0.668 0.668 0.995
Pb3 0.174 0.174 0.479
O6 0.750 0.213 0.287
O7 0.332 0.332 0.005
O8 0.787 0.250 0.713

ΔE_f (raw), eV per atom: -0.57

Compound: Fe2MoAu
Source: the Alexandria database
Functional: PBE
Structure: relaxed

abc: 4.605 4.605 4.605
angles: 129.98 129.99 73.42
Atoms (fractional coordinates):
Mo1 0.750 0.250 0.500
Fe1 0.000 0.000 0.000
Au1 0.250 0.750 0.500
Fe2 0.500 0.500 0.000

E above lowest polymorph, meV per atom: 67
Energy of formation from the pure elements, meV per atom: 228

Number 1: Fermi-level density of states 0.000 states/eV/atom. Number 2: Fermi-level density of states 0.919 states/eV/atom.